The following is a DFT calculation (PBE) of an optimized crystal structure of Rb2DyPbO4.

a b c (Å): 8.908 9.339 6.305
angles (deg): 90.00 134.93 90.00
Atoms (fractional coordinates):
1 Rb 0.000 0.000 0.000
2 Rb 0.000 0.250 0.500
3 Rb 0.500 0.500 0.000
4 Rb 0.500 0.750 0.500
5 Dy 0.000 0.499 0.000
6 Dy 0.500 0.999 0.000
7 Pb 0.000 0.750 0.500
8 Pb 0.500 0.250 0.500
9 O 0.158 0.622 0.400
10 O 0.242 0.376 0.084
11 O 0.258 0.876 0.916
12 O 0.342 0.122 0.600
13 O 0.658 0.122 0.400
14 O 0.742 0.876 0.084
15 O 0.758 0.376 0.916
16 O 0.842 0.622 0.600

* total magnetization: 1.53 μB per cell
* raw formation energy: -1827 meV/atom



The following is a DFT calculation (PBE) of an optimized crystal structure of MgPaZn2.

a b c (Å): 3.058 3.058 29.706
angles (deg): 90.00 90.00 120.00
Atoms (fractional coordinates):
1 Mg 0.000 0.000 0.000
2 Mg 0.333 0.667 0.667
3 Mg 0.667 0.333 0.333
4 Pa 0.000 0.000 0.500
5 Pa 0.333 0.667 0.167
6 Pa 0.667 0.333 0.833
7 Zn 0.000 0.000 0.255
8 Zn 0.000 0.000 0.745
9 Zn 0.333 0.667 0.412
10 Zn 0.333 0.667 0.922
11 Zn 0.667 0.333 0.078
12 Zn 0.667 0.333 0.588

* E above lowest polymorph: 1.54 kcal/mol of atoms
* total magnetization: 0.00 μB per cell
* E_form: 16 meV/atom



The following is a DFT calculation (PBE) of an optimized crystal structure of SrTcO3.

a b c (Å): 10.411 10.411 10.411
angles (deg): 158.16 158.16 31.08
Atoms (fractional coordinates):
1 Sr 0.103 0.103 0.000
2 Sr 0.897 0.897 0.000
3 Tc 0.500 0.500 0.000
4 Tc 0.750 0.250 0.500
5 O 0.001 0.501 0.500
6 O 0.096 0.331 0.765
7 O 0.499 0.999 0.500
8 O 0.565 0.331 0.235
9 O 0.669 0.435 0.765
10 O 0.669 0.904 0.235

* total magnetization: 1.27 μB per cell
* raw formation energy: -1269 meV/atom



The following is a DFT calculation (PBE) of an optimized crystal structure of LaBeAu2.

a b c (Å): 5.160 5.160 14.762
angles (deg): 90.00 90.00 90.00
Atoms (fractional coordinates):
1 La 0.000 0.000 0.000
2 La 0.000 0.500 0.250
3 La 0.500 0.000 0.750
4 La 0.500 0.500 0.500
5 Be 0.000 0.000 0.500
6 Be 0.000 0.500 0.750
7 Be 0.500 0.000 0.250
8 Be 0.500 0.500 0.000
9 Au 0.110 0.250 0.625
10 Au 0.250 0.610 0.875
11 Au 0.250 0.890 0.375
12 Au 0.390 0.250 0.125
13 Au 0.610 0.750 0.125
14 Au 0.750 0.110 0.375
15 Au 0.750 0.390 0.875
16 Au 0.890 0.750 0.625

* total magnetization: 0.00 μB per cell
* E_form: -301 meV/atom



Number 1: raw total energy -5.587 eV per atom. Number 2: raw total energy -3.393 eV per atom. Number 3: raw total energy -6.653 eV per atom. Number 4: raw total energy -4.103 eV per atom.